First-principles (PBE) data for a relaxed structure of La3Pr4Er2, as listed in Alexandria.

Magnetic moment ... 0.0 Bohr magnetons per cell
Energy relative to the lowest polymorph listed for this composition ... 0 meV/atom
E_form ... 97 meV per atom

a = 6.5844 Å, b = 6.5844 Å, c = 9.3489 Å
α = 100.72°, β = 100.72°, γ = 53.40°
Fractional positions:
La 0.0000 0.0000 0.0000
La 0.1165 0.1165 0.6831
La 0.8835 0.8835 0.3169
Pr 0.2280 0.2280 0.3718
Pr 0.3207 0.3207 0.0395
Pr 0.6793 0.6793 0.9605
Pr 0.7720 0.7720 0.6282
Er 0.4380 0.4380 0.6934
Er 0.5620 0.5620 0.3066

---

First-principles (PBE) data for a relaxed structure of LaPr12Er5, as listed in Alexandria.

Magnetic moment ... 0.0 Bohr magnetons per cell
E_form ... 24 meV per atom

a = 10.9838 Å, b = 10.9838 Å, c = 5.1891 Å
α = 90.00°, β = 90.00°, γ = 90.26°
Fractional positions:
La 0.0000 0.0000 0.0000
Pr 0.0024 0.6668 0.0000
Pr 0.1671 0.1671 0.5000
Pr 0.1702 0.5027 0.5000
Pr 0.3332 0.9976 0.0000
Pr 0.3369 0.3369 0.0000
Pr 0.4973 0.8298 0.5000
Pr 0.5027 0.1702 0.5000
Pr 0.6631 0.6631 0.0000
Pr 0.6668 0.0024 0.0000
Pr 0.8298 0.4973 0.5000
Pr 0.8329 0.8329 0.5000
Pr 0.9976 0.3332 0.0000
Er 0.1686 0.8314 0.5000
Er 0.3330 0.6670 0.0000
Er 0.5000 0.5000 0.5000
Er 0.6670 0.3330 0.0000
Er 0.8314 0.1686 0.5000

---

First-principles (PBE) data for a relaxed structure of LaPrEr4, as listed in Alexandria.

Magnetic moment ... 0.0 Bohr magnetons per cell
Energy relative to the lowest polymorph listed for this composition ... 120 meV/atom
E_form ... 148 meV per atom

a = 8.6326 Å, b = 8.6326 Å, c = 6.5025 Å
α = 99.53°, β = 99.53°, γ = 118.26°
Fractional positions:
La 0.0831 0.9169 0.7500
La 0.9169 0.0831 0.2500
Pr 0.4938 0.5062 0.2500
Pr 0.5062 0.4938 0.7500
Er 0.0658 0.3424 0.8798
Er 0.2127 0.6024 0.4714
Er 0.3424 0.0658 0.3798
Er 0.3976 0.7873 0.0286
Er 0.6024 0.2127 0.9714
Er 0.6576 0.9342 0.6202
Er 0.7873 0.3976 0.5286
Er 0.9342 0.6576 0.1202

---

First-principles (PBE) data for a relaxed structure of LaPr6Er2, as listed in Alexandria.

Magnetic moment ... 0.3 Bohr magnetons per cell
E_form ... 123 meV per atom

a = 10.2069 Å, b = 10.2069 Å, c = 3.5055 Å
α = 90.00°, β = 90.00°, γ = 120.00°
Fractional positions:
La 0.0000 0.0000 0.0000
Pr 0.0000 0.3424 0.2250
Pr 0.0000 0.6576 0.7750
Pr 0.3424 0.0000 0.2250
Pr 0.3424 0.3424 0.7750
Pr 0.6576 0.0000 0.7750
Pr 0.6576 0.6576 0.2250
Er 0.3333 0.6667 0.5000
Er 0.6667 0.3333 0.5000

---

First-principles (PBE) data for a relaxed structure of LaPr6Er4, as listed in Alexandria.

Magnetic moment ... 0.0 Bohr magnetons per cell
E_form ... 151 meV per atom

a = 11.1964 Å, b = 11.1964 Å, c = 3.6083 Å
α = 90.00°, β = 90.00°, γ = 120.00°
Fractional positions:
La 0.0000 0.0000 0.0000
Pr 0.1832 0.3664 0.5000
Pr 0.1832 0.8168 0.5000
Pr 0.5242 0.0483 0.0000
Pr 0.5242 0.4758 0.0000
Pr 0.6336 0.8168 0.5000
Pr 0.9517 0.4758 0.0000
Er 0.3246 0.1623 0.5000
Er 0.3333 0.6667 0.0000
Er 0.8377 0.1623 0.5000
Er 0.8377 0.6754 0.5000

---

First-principles (PBE) data for a relaxed structure of La8Pr4Er, as listed in Alexandria.

Magnetic moment ... 0.0 Bohr magnetons per cell
E_form ... 347 meV per atom

a = 7.9756 Å, b = 7.9756 Å, c = 7.9756 Å
α = 96.95°, β = 96.95°, γ = 96.95°
Fractional positions:
La 0.1697 0.1697 0.6719
La 0.1697 0.6719 0.1697
La 0.2375 0.2375 0.2375
La 0.3281 0.8303 0.8303
La 0.6719 0.1697 0.1697
La 0.7625 0.7625 0.7625
La 0.8303 0.3281 0.8303
La 0.8303 0.8303 0.3281
Pr 0.0000 0.0000 0.0000
Pr 0.0000 0.5000 0.5000
Pr 0.5000 0.0000 0.5000
Pr 0.5000 0.5000 0.0000
Er 0.5000 0.5000 0.5000

---

First-principles (PBE) data for a relaxed structure of La3Pr2Er3, as listed in Alexandria.

Magnetic moment ... 0.0 Bohr magnetons per cell
Energy relative to the lowest polymorph listed for this composition ... 69 meV/atom
E_form ... 95 meV per atom

a = 16.4534 Å, b = 5.9136 Å, c = 6.1228 Å
α = 90.00°, β = 111.18°, γ = 90.00°
Fractional positions:
La 0.0000 0.0000 0.0000
La 0.1357 0.0000 0.6955
La 0.3643 0.5000 0.3045
La 0.5000 0.5000 0.0000
La 0.6357 0.5000 0.6955
La 0.8643 0.0000 0.3045
Pr 0.2492 0.5000 0.6829
Pr 0.2508 0.0000 0.3171
Pr 0.7492 0.0000 0.6829
Pr 0.7508 0.5000 0.3171
Er 0.0000 0.5000 0.5000
Er 0.1276 0.5000 0.0824
Er 0.3724 0.0000 0.9176
Er 0.5000 0.0000 0.5000
Er 0.6276 0.0000 0.0824
Er 0.8724 0.5000 0.9176

---

First-principles (PBE) data for a relaxed structure of LaPr6Er3, as listed in Alexandria.

Magnetic moment ... 0.0 Bohr magnetons per cell
Energy relative to the lowest polymorph listed for this composition ... 82 meV/atom
E_form ... 219 meV per atom

a = 7.0676 Å, b = 7.0676 Å, c = 7.0676 Å
α = 90.47°, β = 90.47°, γ = 90.47°
Fractional positions:
La 0.0000 0.0000 0.0000
Pr 0.9996 0.3299 0.6689
Pr 0.1726 0.8260 0.4997
Pr 0.3299 0.6689 0.9996
Pr 0.4997 0.1726 0.8260
Pr 0.6689 0.9996 0.3299
Pr 0.8260 0.4997 0.1726
Er 0.2541 0.2541 0.2541
Er 0.5000 0.5000 0.5000
Er 0.7458 0.7458 0.7458

---

First-principles (PBE) data for a relaxed structure of La3PrEr2, as listed in Alexandria.

Magnetic moment ... 0.0 Bohr magnetons per cell
Energy relative to the lowest polymorph listed for this composition ... 0 meV/atom
E_form ... 136 meV per atom

a = 10.1274 Å, b = 10.1274 Å, c = 10.1274 Å
α = 137.70°, β = 58.19°, γ = 141.96°
Fractional positions:
La 0.2652 0.5152 0.7500
La 0.3148 0.2443 0.0704
La 0.3261 0.7557 0.5704
La 0.6739 0.2443 0.4296
La 0.6852 0.7557 0.9296
La 0.7348 0.4848 0.2500
Pr 0.2349 0.9849 0.2500
Pr 0.7651 0.0151 0.7500
Er 0.1469 0.0000 0.6469
Er 0.1469 0.5000 0.1469
Er 0.8531 0.0000 0.3531
Er 0.8531 0.5000 0.8531

---

First-principles (PBE) data for a relaxed structure of LaPr3Er2, as listed in Alexandria.

Magnetic moment ... 0.0 Bohr magnetons per cell
Energy relative to the lowest polymorph listed for this composition ... 0 meV/atom
E_form ... 17 meV per atom

a = 12.1159 Å, b = 11.5508 Å, c = 6.3209 Å
α = 79.51°, β = 69.62°, γ = 30.86°
Fractional positions:
La 0.1250 0.1250 0.1250
La 0.8750 0.8750 0.8750
Pr 0.0419 0.0419 0.7081
Pr 0.2919 0.2919 0.9581
Pr 0.3750 0.3750 0.3750
Pr 0.6250 0.6250 0.6250
Pr 0.7081 0.7081 0.0419
Pr 0.9581 0.9581 0.2919
Er 0.2098 0.2098 0.5402
Er 0.4598 0.4598 0.7902
Er 0.5402 0.5402 0.2098
Er 0.7902 0.7902 0.4598

---

First-principles (PBE) data for a relaxed structure of LaPr6Er8, as listed in Alexandria.

Magnetic moment ... 0.0 Bohr magnetons per cell
E_form ... 127 meV per atom

a = 8.7858 Å, b = 8.7858 Å, c = 8.7858 Å
α = 62.38°, β = 62.38°, γ = 62.38°
Fractional positions:
La 0.0000 0.0000 0.0000
Pr 0.0997 0.2295 0.5357
Pr 0.2295 0.5357 0.0997
Pr 0.4643 0.9003 0.7705
Pr 0.5357 0.0997 0.2295
Pr 0.7705 0.4643 0.9003
Pr 0.9003 0.7705 0.4643
Er 0.1130 0.7528 0.7113
Er 0.2472 0.2887 0.8870
Er 0.2887 0.8870 0.2472
Er 0.4233 0.4233 0.4233
Er 0.5767 0.5767 0.5767
Er 0.7113 0.1130 0.7528
Er 0.7528 0.7113 0.1130
Er 0.8870 0.2472 0.2887

---

First-principles (PBE) data for a relaxed structure of La7Pr2Er, as listed in Alexandria.

Magnetic moment ... 0.2 Bohr magnetons per cell
Energy relative to the lowest polymorph listed for this composition ... 237 meV/atom
E_form ... 548 meV per atom

a = 9.3544 Å, b = 9.3544 Å, c = 5.6182 Å
α = 90.00°, β = 90.00°, γ = 122.53°
Fractional positions:
La 0.0000 0.0000 0.0000
La 0.2009 0.4254 0.0000
La 0.2611 0.7389 0.5000
La 0.4254 0.2009 0.0000
La 0.5746 0.7991 0.0000
La 0.7389 0.2611 0.5000
La 0.7991 0.5746 0.0000
Pr 0.2007 0.7993 0.0000
Pr 0.7993 0.2007 0.0000
Er 0.5000 0.5000 0.5000

---

First-principles (PBE) data for a relaxed structure of La2Pr8Er, as listed in Alexandria.

Magnetic moment ... 0.0 Bohr magnetons per cell
Energy relative to the lowest polymorph listed for this composition ... 0 meV/atom
E_form ... 138 meV per atom

a = 9.1674 Å, b = 9.1674 Å, c = 6.9198 Å
α = 100.69°, β = 100.69°, γ = 44.60°
Fractional positions:
La 0.1934 0.1934 0.3088
La 0.8066 0.8066 0.6912
Pr 0.1780 0.6511 0.0964
Pr 0.2426 0.2426 0.8156
Pr 0.3489 0.8220 0.9036
Pr 0.4082 0.4082 0.5823
Pr 0.5918 0.5918 0.4177
Pr 0.6511 0.1780 0.0964
Pr 0.7574 0.7574 0.1844
Pr 0.8220 0.3489 0.9036
Er 0.0000 0.0000 0.5000

---

First-principles (PBE) data for a relaxed structure of La4Pr5Er3, as listed in Alexandria.

Magnetic moment ... 0.0 Bohr magnetons per cell
E_form ... 194 meV per atom

a = 8.8623 Å, b = 8.8623 Å, c = 9.5618 Å
α = 115.18°, β = 115.18°, γ = 40.09°
Fractional positions:
La 0.0838 0.0838 0.4409
La 0.2191 0.2191 0.8767
La 0.7809 0.7809 0.1233
La 0.9162 0.9162 0.5591
Pr 0.0000 0.0000 0.0000
Pr 0.3291 0.3291 0.6116
Pr 0.4254 0.4254 0.2949
Pr 0.5746 0.5746 0.7051
Pr 0.6709 0.6709 0.3884
Er 0.2093 0.2093 0.2269
Er 0.5000 0.5000 0.0000
Er 0.7907 0.7907 0.7731

---

First-principles (PBE) data for a relaxed structure of La2Pr7Er2, as listed in Alexandria.

Magnetic moment ... 0.0 Bohr magnetons per cell
Energy relative to the lowest polymorph listed for this composition ... 0 meV/atom
E_form ... 124 meV per atom

a = 8.2764 Å, b = 8.2764 Å, c = 6.2143 Å
α = 105.56°, β = 105.56°, γ = 90.03°
Fractional positions:
La 0.0747 0.0747 0.3028
La 0.9253 0.9253 0.6972
Pr 0.0868 0.5492 0.3205
Pr 0.2747 0.2747 0.9060
Pr 0.4508 0.9132 0.6795
Pr 0.5000 0.5000 0.5000
Pr 0.5492 0.0868 0.3205
Pr 0.7253 0.7253 0.0940
Pr 0.9132 0.4508 0.6795
Er 0.2832 0.7168 0.0000
Er 0.7168 0.2832 0.0000

---

First-principles (PBE) data for a relaxed structure of La2Pr3Er, as listed in Alexandria.

Magnetic moment ... 0.0 Bohr magnetons per cell
Energy relative to the lowest polymorph listed for this composition ... 0 meV/atom
E_form ... 53 meV per atom

a = 7.1601 Å, b = 10.1085 Å, c = 5.8383 Å
α = 90.00°, β = 90.00°, γ = 90.00°
Fractional positions:
La 0.2475 0.1678 0.0000
La 0.2525 0.6678 0.5000
La 0.7475 0.3322 0.5000
La 0.7525 0.8322 0.0000
Pr 0.0000 0.5000 0.0000
Pr 0.2494 0.3313 0.5000
Pr 0.2506 0.8313 0.0000
Pr 0.5000 0.0000 0.5000
Pr 0.7494 0.1687 0.0000
Pr 0.7506 0.6687 0.5000
Er 0.0000 0.0000 0.5000
Er 0.5000 0.5000 0.0000

---

First-principles (PBE) data for a relaxed structure of La3Pr8Er4, as listed in Alexandria.

Magnetic moment ... 0.0 Bohr magnetons per cell
E_form ... 312 meV per atom

a = 9.3526 Å, b = 9.3526 Å, c = 6.9815 Å
α = 111.08°, β = 111.08°, γ = 83.14°
Fractional positions:
La 0.0000 0.0000 0.0000
La 0.0000 0.5000 0.5000
La 0.5000 0.0000 0.5000
Pr 0.2044 0.2044 0.6651
Pr 0.2063 0.7937 0.5000
Pr 0.2532 0.7468 0.0000
Pr 0.2552 0.2552 0.1823
Pr 0.7448 0.7448 0.8177
Pr 0.7468 0.2532 0.0000
Pr 0.7937 0.2063 0.5000
Pr 0.7956 0.7956 0.3349
Er 0.0000 0.5000 0.0000
Er 0.5000 0.0000 0.0000
Er 0.5000 0.5000 0.0000
Er 0.5000 0.5000 0.5000

---

First-principles (PBE) data for a relaxed structure of La4Pr2Er3, as listed in Alexandria.

Magnetic moment ... 0.0 Bohr magnetons per cell
Energy relative to the lowest polymorph listed for this composition ... 86 meV/atom
E_form ... 141 meV per atom

a = 10.0368 Å, b = 8.5468 Å, c = 6.9709 Å
α = 79.90°, β = 56.97°, γ = 43.14°
Fractional positions:
La 0.0465 0.3333 0.6667
La 0.3333 0.0465 0.9535
La 0.6667 0.9535 0.0465
La 0.9535 0.6667 0.3333
Pr 0.3905 0.3905 0.6095
Pr 0.6095 0.6095 0.3905
Er 0.0000 0.0000 0.0000
Er 0.0000 0.0000 0.5000
Er 0.5000 0.5000 0.0000

---

First-principles (PBE) data for a relaxed structure of La3Pr7Er, as listed in Alexandria.

Magnetic moment ... 0.0 Bohr magnetons per cell
Energy relative to the lowest polymorph listed for this composition ... 0 meV/atom
E_form ... 214 meV per atom

a = 7.9223 Å, b = 7.9223 Å, c = 6.6035 Å
α = 93.18°, β = 93.18°, γ = 82.23°
Fractional positions:
La 0.0000 0.0000 0.0000
La 0.1737 0.8263 0.5000
La 0.8263 0.1737 0.5000
Pr 0.0875 0.4315 0.2377
Pr 0.2393 0.2393 0.7152
Pr 0.4315 0.0875 0.2377
Pr 0.5000 0.5000 0.5000
Pr 0.5685 0.9125 0.7623
Pr 0.7607 0.7607 0.2848
Pr 0.9125 0.5685 0.7623
Er 0.5000 0.5000 0.0000

---

First-principles (PBE) data for a relaxed structure of La14PrEr, as listed in Alexandria.

Magnetic moment ... 0.0 Bohr magnetons per cell
E_form ... 7 meV per atom

a = 7.3994 Å, b = 7.3994 Å, c = 10.5320 Å
α = 90.00°, β = 90.00°, γ = 90.06°
Fractional positions:
La 0.0000 0.0000 0.0000
La 0.0000 0.5000 0.0000
La 0.0000 0.5000 0.5000
La 0.2479 0.2479 0.2511
La 0.2479 0.2479 0.7489
La 0.2478 0.7522 0.2513
La 0.2478 0.7522 0.7487
La 0.5000 0.0000 0.0000
La 0.5000 0.0000 0.5000
La 0.5000 0.5000 0.0000
La 0.7522 0.2478 0.2513
La 0.7522 0.2478 0.7487
La 0.7521 0.7521 0.2511
La 0.7521 0.7521 0.7489
Pr 0.5000 0.5000 0.5000
Er 0.0000 0.0000 0.5000